Record 1
Crystalline Tb2HoEr6Sc at its relaxed geometry. Source: Alexandria, functional PBE.

```
Tb2HoEr6Sc
1.0
4.467 -7.353 0.000
4.467 7.353 0.000
-1.307 0.000 9.310
Tb Ho Er Sc
4 2 12 2
Direct
0.198 0.301 0.454
0.301 0.198 0.954
0.699 0.802 0.046
0.802 0.699 0.546
0.479 0.521 0.750
0.521 0.479 0.250
0.004 0.793 0.883
0.068 0.510 0.689
0.207 0.996 0.617
0.250 0.627 0.057
0.373 0.750 0.443
0.490 0.932 0.811
0.510 0.068 0.189
0.627 0.250 0.557
0.750 0.373 0.943
0.793 0.004 0.383
0.932 0.490 0.311
0.996 0.207 0.117
0.088 0.912 0.250
0.912 0.088 0.750
```

Computed properties:
The value obtained for the formation enthalpy at 0 K is 0.125 eV per atom. The value obtained for the density of states at the Fermi level is 25.24 states/eV per cell. Its calculated volume is 305.8 Å³/f.u. For the total energy, the calculation gives -4.63 eV per atom. As for the space group: C2/c (15).

=====

Record 2
Crystalline Tb6Ho3Er2Sc at its relaxed geometry. Source: Alexandria, functional PBE.

```
Tb6Ho3Er2Sc
1.0
3.050 -5.279 0.000
3.050 5.279 0.000
-2.023 0.000 11.451
Tb Ho Er Sc
6 3 2 1
Direct
0.083 0.414 0.747
0.248 0.248 0.253
0.414 0.083 0.747
0.586 0.917 0.253
0.752 0.752 0.747
0.917 0.586 0.253
0.166 0.834 0.000
0.500 0.500 0.000
0.834 0.166 0.000
0.333 0.667 0.500
0.667 0.333 0.500
0.000 0.000 0.500
```

Computed properties:
The value obtained for the formation enthalpy at 0 K is 0.026 eV per atom. The value obtained for the density of states at the Fermi level is 16.16 states/eV per cell. Its calculated volume is 368.7 Å³/f.u. For the total energy, the calculation gives -4.72 eV per atom. As for the space group: C2/m (12).

=====

Record 3
Crystalline TbHo6ErSc2 at its relaxed geometry. Source: Alexandria, functional PBE.

```
TbHo6ErSc2
1.0
4.458 -7.331 0.000
4.458 7.331 0.000
-1.082 0.000 9.241
Tb Ho Er Sc
2 12 2 4
Direct
0.028 0.972 0.750
0.972 0.028 0.250
0.017 0.561 0.681
0.120 0.757 0.055
0.243 0.880 0.445
0.296 0.506 0.884
0.439 0.983 0.819
0.494 0.704 0.616
0.506 0.296 0.384
0.561 0.017 0.181
0.704 0.494 0.116
0.757 0.120 0.555
0.880 0.243 0.945
0.983 0.439 0.319
0.408 0.592 0.250
0.592 0.408 0.750
0.197 0.305 0.548
0.305 0.197 0.048
0.695 0.803 0.952
0.803 0.695 0.452
```

Computed properties:
The value obtained for the formation enthalpy at 0 K is 0.126 eV per atom. The value obtained for the density of states at the Fermi level is 32.46 states/eV per cell. Its calculated volume is 302.0 Å³/f.u. For the total energy, the calculation gives -4.81 eV per atom. As for the space group: C2/c (15).

=====

Record 4
Crystalline TbHo2Er6Sc at its relaxed geometry. Source: Alexandria, functional PBE.

```
TbHo2Er6Sc
1.0
4.476 -7.354 0.000
4.476 7.354 0.000
-1.204 0.000 9.270
Tb Ho Er Sc
2 4 12 2
Direct
0.023 0.977 0.750
0.977 0.023 0.250
0.201 0.305 0.547
0.305 0.201 0.047
0.695 0.799 0.953
0.799 0.695 0.453
0.009 0.565 0.689
0.127 0.752 0.056
0.248 0.873 0.444
0.292 0.506 0.884
0.435 0.991 0.811
0.494 0.708 0.616
0.506 0.292 0.384
0.565 0.009 0.189
0.708 0.494 0.116
0.752 0.127 0.556
0.873 0.248 0.944
0.991 0.435 0.311
0.413 0.587 0.250
0.587 0.413 0.750
```

Computed properties:
The value obtained for the formation enthalpy at 0 K is 0.127 eV per atom. The value obtained for the density of states at the Fermi level is 26.19 states/eV per cell. Its calculated volume is 305.1 Å³/f.u. For the total energy, the calculation gives -4.62 eV per atom. As for the space group: C2/c (15).

=====

Record 5
Crystalline TbHo2ErSc at its relaxed geometry. Source: Alexandria, functional PBE.

```
TbHo2ErSc
1.0
4.062 -5.570 0.000
4.062 5.570 0.000
0.000 0.000 7.044
Tb Ho Er Sc
2 4 2 2
Direct
0.231 0.769 0.750
0.769 0.231 0.250
0.197 0.197 0.000
0.197 0.197 0.500
0.803 0.803 0.000
0.803 0.803 0.500
0.230 0.770 0.250
0.770 0.230 0.750
0.499 0.501 0.750
0.501 0.499 0.250
```

Computed properties:
The value obtained for the formation enthalpy at 0 K is 0.356 eV per atom. The value obtained for the density of states at the Fermi level is 13.14 states/eV per cell. Its calculated volume is 159.4 Å³/f.u. For the total energy, the calculation gives -4.58 eV per atom. As for the space group: Cmcm (63).

=====

Record 6
Crystalline Tb6HoErSc2 at its relaxed geometry. Source: Alexandria, functional PBE.

```
Tb6HoErSc2
1.0
4.469 -7.377 0.000
4.469 7.377 0.000
-1.219 0.000 9.288
Tb Ho Er Sc
12 2 2 4
Direct
0.017 0.562 0.181
0.117 0.758 0.553
0.242 0.883 0.947
0.297 0.504 0.382
0.438 0.983 0.319
0.496 0.703 0.118
0.504 0.297 0.882
0.562 0.017 0.681
0.703 0.496 0.618
0.758 0.117 0.053
0.883 0.242 0.447
0.983 0.438 0.819
0.407 0.593 0.750
0.593 0.407 0.250
0.027 0.973 0.250
0.973 0.027 0.750
0.196 0.301 0.047
0.301 0.196 0.547
0.699 0.804 0.453
0.804 0.699 0.953
```

Computed properties:
The value obtained for the formation enthalpy at 0 K is 0.125 eV per atom. The value obtained for the density of states at the Fermi level is 31.54 states/eV per cell. Its calculated volume is 306.2 Å³/f.u. For the total energy, the calculation gives -4.83 eV per atom. As for the space group: C2/c (15).

=====

Record 7
Crystalline TbHo3ErSc at its relaxed geometry. Source: Alexandria, functional PBE.

```
TbHo3ErSc
1.0
2.462 -7.393 0.000
2.462 7.393 0.000
0.000 0.000 9.861
Tb Ho Er Sc
2 6 2 2
Direct
0.002 0.998 0.750
0.998 0.002 0.250
0.167 0.833 0.000
0.167 0.833 0.500
0.331 0.669 0.750
0.669 0.331 0.250
0.833 0.167 0.000
0.833 0.167 0.500
0.500 0.500 0.000
0.500 0.500 0.500
0.333 0.667 0.250
0.667 0.333 0.750
```

Computed properties:
The value obtained for the formation enthalpy at 0 K is 0.036 eV per atom. The value obtained for the density of states at the Fermi level is 17.08 states/eV per cell. Its calculated volume is 179.5 Å³/f.u. For the total energy, the calculation gives -4.84 eV per atom. As for the space group: Cmcm (63).

=====

Record 8
Crystalline Tb2Ho6ErSc at its relaxed geometry. Source: Alexandria, functional PBE.

```
Tb2Ho6ErSc
1.0
4.480 -7.373 0.000
4.480 7.373 0.000
-1.313 0.000 9.330
Tb Ho Er Sc
4 12 2 2
Direct
0.198 0.301 0.454
0.301 0.198 0.954
0.699 0.802 0.046
0.802 0.699 0.546
0.004 0.793 0.883
0.068 0.509 0.690
0.207 0.996 0.617
0.251 0.626 0.056
0.374 0.749 0.444
0.491 0.932 0.810
0.509 0.068 0.190
0.626 0.251 0.556
0.749 0.374 0.944
0.793 0.004 0.383
0.932 0.491 0.310
0.996 0.207 0.117
0.479 0.521 0.750
0.521 0.479 0.250
0.088 0.912 0.250
0.912 0.088 0.750
```

Computed properties:
The value obtained for the formation enthalpy at 0 K is 0.125 eV per atom. The value obtained for the density of states at the Fermi level is 25.23 states/eV per cell. Its calculated volume is 308.2 Å³/f.u. For the total energy, the calculation gives -4.64 eV per atom. As for the space group: C2/c (15).

=====

Record 9
Crystalline TbHo3Er6Sc2 at its relaxed geometry. Source: Alexandria, functional PBE.

```
TbHo3Er6Sc2
1.0
3.012 -5.211 0.000
3.012 5.211 0.000
-2.001 0.000 11.337
Tb Ho Er Sc
1 3 6 2
Direct
0.000 0.000 0.000
0.167 0.833 0.500
0.500 0.500 0.500
0.833 0.167 0.500
0.082 0.418 0.245
0.253 0.253 0.755
0.418 0.082 0.245
0.582 0.918 0.755
0.747 0.747 0.245
0.918 0.582 0.755
0.333 0.667 0.000
0.667 0.333 0.000
```

Computed properties:
The value obtained for the formation enthalpy at 0 K is 0.037 eV per atom. The value obtained for the density of states at the Fermi level is 17.63 states/eV per cell. Its calculated volume is 355.9 Å³/f.u. For the total energy, the calculation gives -4.83 eV per atom. As for the space group: C2/m (12).

=====

Record 10
Crystalline Tb6HoEr2Sc at its relaxed geometry. Source: Alexandria, functional PBE.

```
Tb6HoEr2Sc
1.0
4.518 -7.419 0.000
4.518 7.419 0.000
-1.177 0.000 9.306
Tb Ho Er Sc
12 2 4 2
Direct
0.005 0.563 0.190
0.125 0.756 0.554
0.244 0.875 0.946
0.292 0.507 0.384
0.437 0.995 0.310
0.493 0.708 0.116
0.507 0.292 0.884
0.563 0.005 0.690
0.708 0.493 0.616
0.756 0.125 0.054
0.875 0.244 0.446
0.995 0.437 0.810
0.023 0.977 0.250
0.977 0.023 0.750
0.201 0.304 0.047
0.304 0.201 0.547
0.696 0.799 0.453
0.799 0.696 0.953
0.414 0.586 0.750
0.586 0.414 0.250
```

Computed properties:
The value obtained for the formation enthalpy at 0 K is 0.127 eV per atom. The value obtained for the density of states at the Fermi level is 26.46 states/eV per cell. Its calculated volume is 311.9 Å³/f.u. For the total energy, the calculation gives -4.65 eV per atom. As for the space group: C2/c (15).

=====

Record 11
Crystalline TbHo2Er5Sc at its relaxed geometry. Source: Alexandria, functional PBE.

```
TbHo2Er5Sc
1.0
2.747 -9.826 0.000
2.747 9.826 0.000
0.000 0.000 10.290
Tb Ho Er Sc
2 4 10 2
Direct
0.089 0.911 0.500
0.911 0.089 0.000
0.386 0.614 0.781
0.389 0.611 0.358
0.611 0.389 0.858
0.614 0.386 0.281
0.019 0.981 0.784
0.122 0.878 0.066
0.200 0.800 0.750
0.224 0.776 0.365
0.482 0.518 0.064
0.518 0.482 0.564
0.776 0.224 0.865
0.800 0.200 0.250
0.878 0.122 0.566
0.981 0.019 0.284
0.304 0.696 0.059
0.696 0.304 0.559
```

Computed properties:
The value obtained for the formation enthalpy at 0 K is 0.170 eV per atom. The value obtained for the density of states at the Fermi level is 29.32 states/eV per cell. Its calculated volume is 277.7 Å³/f.u. For the total energy, the calculation gives -4.60 eV per atom. As for the space group: Cmc2_1 (36).

=====

Record 12
Crystalline TbHoEr2Sc4 at its relaxed geometry. Source: Alexandria, functional PBE.

```
TbHoEr2Sc4
1.0
6.491 -6.328 0.000
6.491 6.328 0.000
-3.234 0.000 5.615
Tb Ho Er Sc
2 2 4 8
Direct
0.000 0.000 0.000
0.000 0.000 0.500
0.000 0.500 0.000
0.500 0.000 0.500
0.000 0.500 0.500
0.500 0.000 0.000
0.500 0.500 0.000
0.500 0.500 0.500
0.251 0.252 0.504
0.251 0.748 0.999
0.252 0.251 0.004
0.252 0.749 0.501
0.748 0.251 0.499
0.748 0.749 0.996
0.749 0.252 0.001
0.749 0.748 0.496
```

Computed properties:
The value obtained for the formation enthalpy at 0 K is 0.433 eV per atom. The value obtained for the density of states at the Fermi level is 34.21 states/eV per cell. Its calculated volume is 230.7 Å³/f.u. For the total energy, the calculation gives -5.02 eV per atom. As for the space group: C2/c (15).